Density functional theory data (GGA-PBE) for a geometry-optimized KMg2PPb structure.

Geometry as POSCAR:
```
KMg2PPb
1.0
-4.8681 -0.6320 1.0635
1.5259 -3.3687 4.9830
0.0698 4.1707 2.7982
Mg P K Pb
2 1 1 1
Direct
0.0000 0.0000 0.5000
0.5000 0.0000 0.0000
0.0000 0.0000 0.0000
0.5000 0.5000 0.5000
0.0000 0.5000 0.0000
```

Properties
The value obtained for the formation energy is 0.294 eV per formula unit. Its symmetry is No. 123. The magnetic moment comes out at 0.00 Bohr magnetons per cell.